No. 1
A plane-wave DFT calculation with GGA-PBE was carried out for an optimized crystal structure of Na2ErSnSe4.

Computed properties:
Formation energy from raw total energies = -1.19 eV per atom
E = -4.330 eV per atom

Lattice parameters (Å, degrees): 4.0909 7.1966 7.4107 108.58 90.00 90.00
Closest atoms and distances in Å follow each position.
Atoms (fractional coordinates):
Na1 0.5000 0.0000 0.5000  6 Se 3.03-3.06
Na2 0.0000 0.5000 0.5000  6 Se 3.06-3.07
Er1 0.0000 0.0000 0.0000  6 Se 2.86
Sn1 0.5000 0.5000 0.0000  6 Se 2.88
Se1 0.5000 0.2412 0.2267  2 Er 2.86, 1 Sn 2.88, 3 Na 3.06
Se2 0.5000 0.7588 0.7733  2 Er 2.86, 1 Sn 2.88, 3 Na 3.06
Se3 0.0000 0.2532 0.7708  1 Er 2.86, 2 Sn 2.88, 3 Na 3.03-3.07
Se4 0.0000 0.7468 0.2292  1 Er 2.86, 2 Sn 2.88, 3 Na 3.03-3.07


No. 2
A plane-wave DFT calculation with GGA-PBE was carried out for an optimized crystal structure of Ag2Ir4Au.

Computed properties:
DFT formation energy = 2.0996 eV/atom
E = -4.247 eV per atom

Lattice parameters (Å, degrees): 4.8980 4.8980 7.3904 70.65 70.65 90.00
Closest atoms and distances in Å follow each position.
Atoms (fractional coordinates):
Ir1 0.8049 0.8049 0.3901  1 Au 2.55, 1 Ag 2.59
Ir2 0.1951 0.1951 0.6099  1 Au 2.55, 1 Ag 2.59
Ir3 0.0000 0.5000 0.0000  2 Au 2.45
Ir4 0.5000 0.0000 0.0000  2 Au 2.45
Au1 0.0000 0.0000 0.0000  6 Ir 2.45-2.55
Ag1 0.6062 0.6062 0.7876  5 Ir 2.59-2.81, 1 Ag 2.77
Ag2 0.3938 0.3938 0.2124  5 Ir 2.59-2.81, 1 Ag 2.77